[1]
An optimized crystal structure of Li2Cd3Ag5. Source: the Alexandria database, functional GGA-PBE.

Geometry as POSCAR:
```
Li2Cd3Ag5
1.0
4.444 0.004 0.978
2.347 4.548 -0.047
-0.003 -4.746 10.404
Ag Cd Li
5 3 2
direct
0.580 0.573 0.267
0.116 0.214 0.554
0.420 0.427 0.733
0.884 0.786 0.446
0.000 0.000 0.000
0.500 0.500 0.500
0.190 0.521 0.098
0.810 0.479 0.902
0.337 0.104 0.224
0.663 0.896 0.776
```

Summary:
**Total DFT energy (no corrections)**: -2.166 eV/atom
**ΔE_f**: -83 meV per atom
**Space group**: P-1 (2)
**Energy above the lowest structure with this stoichiometry**: 0.0 kJ/mol of atoms
**Crystal system**: triclinic



[2]
An optimized crystal structure of ScTl2O. Source: the Alexandria database, functional GGA-PBE.

Geometry as POSCAR:
```
ScTl2O
1.0
0.000 3.481 3.481
3.481 0.000 3.481
3.481 3.481 0.000
Tl O Sc
2 1 1
direct
0.750 0.750 0.750
0.250 0.250 0.250
0.000 0.000 0.000
0.500 0.500 0.500
```

Summary:
**Formation energy without anion corrections**: 0.57 eV/f.u.
**Total DFT energy (no corrections)**: -3.863 eV/atom
**Space group**: Fm-3m (225)
**Energy above the lowest structure with this stoichiometry**: 103.7 kJ/mol of atoms
**Crystal system**: cubic



[3]
An optimized crystal structure of LiCa2Ga. Source: the Alexandria database, functional GGA-PBE.

Geometry as POSCAR:
```
LiCa2Ga
1.0
3.827 0.000 0.000
1.913 3.314 0.000
1.913 1.105 9.778
Li Ca Ga
1 2 1
direct
0.501 0.501 0.497
0.072 0.072 0.783
0.260 0.260 0.219
0.666 0.666 0.001
```

Summary:
**Total DFT energy (no corrections)**: -2.319 eV/atom
**ΔE_f**: -83 meV per atom
**Space group**: R3m (160)
**Crystal system**: trigonal



[4]
An optimized crystal structure of CoSiP. Source: the Alexandria database, functional GGA-PBE.

Geometry as POSCAR:
```
CoSiP
1.0
-2.572 1.861 2.073
-3.143 1.344 -1.639
-3.357 -1.600 0.740
Co Si P
1 1 1
direct
0.750 0.750 0.750
0.500 0.500 0.500
0.000 0.000 0.000
```

Summary:
**Formation energy without anion corrections**: -1.05 eV/f.u.
**Total DFT energy (no corrections)**: -6.329 eV/atom
**Space group**: F-43m (216)
**Crystal system**: cubic



[5]
An optimized crystal structure of RbBr3. Source: the Alexandria database, functional GGA-PBE.

Geometry as POSCAR:
```
RbBr3
1.0
6.468 0.000 0.000
0.000 7.015 -1.828
0.000 0.523 7.231
Br Rb
6 2
direct
0.750 0.196 0.804
0.750 0.596 0.835
0.250 0.404 0.165
0.750 0.165 0.404
0.250 0.835 0.596
0.250 0.804 0.196
0.750 0.659 0.341
0.250 0.341 0.659
```

Summary:
**Formation energy without anion corrections**: -2.43 eV/f.u.
**Total DFT energy (no corrections)**: -2.105 eV/atom
**Space group**: Cmcm (63)
**Crystal system**: orthorhombic



[6]
An optimized crystal structure of Ac4P2SeCl. Source: the Alexandria database, functional GGA-PBE.

Geometry as POSCAR:
```
Ac4P2SeCl
1.0
6.232 0.339 0.000
-0.339 6.232 0.000
-2.946 -3.285 6.229
Cl Ac P Se
1 4 2 1
direct
0.437 0.437 0.000
0.185 0.185 0.497
0.937 0.437 0.000
0.437 0.937 0.000
0.689 0.689 0.503
0.187 0.687 0.500
0.687 0.187 0.500
0.937 0.937 0.000
```

Summary:
**Formation energy without anion corrections**: -12.81 eV/f.u.
**Total DFT energy (no corrections)**: -5.675 eV/atom
**Space group**: I4/mmm (139)
**Crystal system**: tetragonal